A relaxed structure of ZrPa2Zn. Source: Alexandria, functional PBE-GGA.

The structure in CIF format:
```
data_ZrPa2Zn
_space_group_name_H-M_alt 'F m -3 m'
_space_group_IT_number 225
_space_group_name_Hall '-F 4 2 3'
_cell_length_a 7.183
_cell_length_b 7.183
_cell_length_c 7.183
_cell_angle_alpha 90.00
_cell_angle_beta 90.00
_cell_angle_gamma 90.00
loop_
_atom_site_label
_atom_site_type_symbol
_atom_site_fract_x
_atom_site_fract_y
_atom_site_fract_z
Zr1 Zr 0.000 0.000 0.000
Pa1 Pa 0.250 0.250 0.250
Zn1 Zn 0.000 0.000 0.500
```

## Properties
Calculated volume ... 23.2 Å³/atom
Magnetization ... 0.000 μB/f.u.
E ... -111.1 eV for the cell shown
Offset from the most stable computed form ... 0.98 eV per formula unit
DOS at the Fermi energy ... 8.77 states/eV/f.u.